! Ce2ThZrN5 PBE-GGA optimized geometry; values from VASP
&SYSTEM
  ibrav = 0, nat = 18, ntyp = 4
/
ATOMIC_SPECIES
Ce 140.12 Ce.upf
Th 232.04 Th.upf
Zr 91.22 Zr.upf
N 14.01 N.upf
CELL_PARAMETERS angstrom
1.796 -7.299 0.000
1.796 7.299 0.000
0.000 0.000 11.106
ATOMIC_POSITIONS angstrom
Ce 1.796 5.342 5.553
Ce 1.796 5.239 10.685
Ce 1.796 -5.239 5.132
Ce 1.796 -5.342 0.000
Th 1.796 0.253 8.112
Th 1.796 -0.253 2.559
Zr 1.796 3.865 2.748
Zr 1.796 -3.865 8.300
N 1.796 5.986 3.323
N 1.796 3.250 9.936
N 1.796 3.059 6.854
N 1.796 1.878 3.494
N 1.796 0.436 0.328
N 1.796 -0.436 5.881
N 1.796 -1.878 9.047
N 1.796 -3.059 1.302
N 1.796 -3.250 4.383
N 1.796 -5.986 8.876
! formation energy without anion corrections: -1334 meV per atom
! electronic total energy: -0.3326 Ha/atom